(1)
# ThMgSn2Pd4, optimized geometry, DFT PBE
# N(E_F) = 3.5 states/eV/f.u.
# calculated formation energy = -5.77 eV per formula unit
# SG = R-3m, No. 166
# electronic total energy = -43.6 eV per formula unit
data_ThMgSn2Pd4
_chemical_formula_sum 'Th1 Mg1 Sn2 Pd4'
_cell_length_a 4.573
_cell_length_b 4.573
_cell_length_c 9.016
_cell_angle_alpha 75.31
_cell_angle_beta 75.31
_cell_angle_gamma 60.00
_symmetry_space_group_name_H-M 'P 1'
_symmetry_Int_Tables_number 1
loop_
_symmetry_equiv_pos_as_xyz
'x,y,z'
loop_
_atom_site_label
_atom_site_fract_x
_atom_site_fract_y
_atom_site_fract_z
Sn1 0.243 0.243 0.271
Sn2 0.757 0.757 0.729
Mg1 0.500 0.500 0.500
Pd1 0.604 0.604 0.187
Pd2 0.867 0.867 0.399
Pd3 0.396 0.396 0.813
Pd4 0.133 0.133 0.601
Th1 0.000 0.000 0.000



(2)
# ThMgSnPd, optimized geometry, DFT PBE
# N(E_F) = 2.0 states/eV/f.u.
# calculated formation energy = -1.95 eV per formula unit
# SG = F-43m, No. 216
# electronic total energy = -20.2 eV per formula unit
data_ThMgSnPd
_chemical_formula_sum 'Th1 Mg1 Sn1 Pd1'
_cell_length_a 5.109
_cell_length_b 5.109
_cell_length_c 5.109
_cell_angle_alpha 60.00
_cell_angle_beta 60.00
_cell_angle_gamma 60.00
_symmetry_space_group_name_H-M 'P 1'
_symmetry_Int_Tables_number 1
loop_
_symmetry_equiv_pos_as_xyz
'x,y,z'
loop_
_atom_site_label
_atom_site_fract_x
_atom_site_fract_y
_atom_site_fract_z
Mg1 0.750 0.750 0.750
Sn1 0.000 0.000 0.000
Th1 0.250 0.250 0.250
Pd1 0.500 0.500 0.500



(3)
# Mg5TlSn2Pd2, optimized geometry, DFT PBE
# N(E_F) = 2.7 states/eV/f.u.
# calculated formation energy = -3.14 eV per formula unit
# SG = P4/mbm, No. 127
# electronic total energy = -31.9 eV per formula unit
data_Mg5TlSn2Pd2
_chemical_formula_sum 'Mg10 Tl2 Sn4 Pd4'
_cell_length_a 4.285
_cell_length_b 9.932
_cell_length_c 9.932
_cell_angle_alpha 90.00
_cell_angle_beta 90.00
_cell_angle_gamma 90.00
_symmetry_space_group_name_H-M 'P 1'
_symmetry_Int_Tables_number 1
loop_
_symmetry_equiv_pos_as_xyz
'x,y,z'
loop_
_atom_site_label
_atom_site_fract_x
_atom_site_fract_y
_atom_site_fract_z
Tl1 0.000 0.000 0.000
Tl2 0.000 0.500 0.500
Mg1 0.500 0.211 0.078
Mg2 0.500 0.289 0.578
Mg3 0.500 0.078 0.789
Mg4 0.500 0.500 0.000
Mg5 0.500 0.000 0.500
Mg6 0.500 0.578 0.711
Mg7 0.500 0.789 0.922
Mg8 0.500 0.422 0.289
Mg9 0.500 0.711 0.422
Mg10 0.500 0.922 0.211
Sn1 0.000 0.328 0.828
Sn2 0.000 0.672 0.172
Sn3 0.000 0.172 0.328
Sn4 0.000 0.828 0.672
Pd1 0.000 0.121 0.621
Pd2 0.000 0.879 0.379
Pd3 0.000 0.379 0.121
Pd4 0.000 0.621 0.879



> The highest N(E_F) belongs to which entry?

ThMgSn2Pd4



> Look up the electronic total energy of the second one.

-20.2 eV per formula unit



> Which of these has the highest electronic total energy?

ThMgSnPd



> electronic total energy of number 3 (Mg5TlSn2Pd2)?

-31.9 eV per formula unit